No. 1
# MgCr2SnF

An optimized crystal structure of MgCr2SnF (PBE+U, Alexandria).

Unit cell a=4.4759 b=5.2098 c=4.4759 alpha=90.00 beta=90.00 gamma=90.00
Last column: nearest neighbours and their distance in Å.
Positions (direct):
Cr 0.0000 0.0000 0.5000  2 F 2.24
Cr 0.5000 0.0000 0.0000  2 F 2.24
F 0.0000 0.0000 0.0000  4 Cr 2.24
Mg 0.5000 0.5000 0.5000  4 Sn 3.16, 8 Cr 3.43
Sn 0.0000 0.5000 0.0000  2 F 2.60

Calculated values
Total moment   9.14 μB/f.u.
Space-group type   P4/mmm
Density of states at the Fermi level   0.561 states/eV/atom
Density   4.23 g/cm3

No. 2
# SrMgCrF6

An optimized crystal structure of SrMgCrF6 (PBE+U, Alexandria).

Unit cell a=5.4578 b=5.4578 c=10.4086 alpha=90.00 beta=90.00 gamma=120.00
Last column: nearest neighbours and their distance in Å.
Positions (direct):
F 0.3526 0.9842 0.1430  1 Mg 2.02, 1 Cr 2.13
F 0.6317 0.9842 0.3570  1 Mg 2.02, 1 Cr 2.13
F 0.3683 0.0158 0.6430  1 Mg 2.02, 1 Cr 2.13
F 0.3683 0.3526 0.8570  1 Mg 2.02, 1 Cr 2.13
F 0.6474 0.6317 0.6430  1 Mg 2.02, 1 Cr 2.13
F 0.0158 0.6474 0.3570  1 Mg 2.02, 1 Cr 2.13
F 0.0158 0.3683 0.1430  1 Mg 2.02, 1 Cr 2.13
F 0.9842 0.6317 0.8570  1 Mg 2.02, 1 Cr 2.13
F 0.6317 0.6474 0.1430  1 Mg 2.02, 1 Cr 2.13
F 0.3526 0.3683 0.3570  1 Mg 2.02, 1 Cr 2.13
F 0.6474 0.0158 0.8570  1 Mg 2.02, 1 Cr 2.13
F 0.9842 0.3526 0.6430  1 Mg 2.02, 1 Cr 2.13
Sr 0.0000 0.0000 0.0000  6 F 2.47
Sr 0.0000 0.0000 0.5000  6 F 2.47
Mg 0.3333 0.6667 0.2500  6 F 2.02
Mg 0.6667 0.3333 0.7500  6 F 2.02
Cr 0.6667 0.3333 0.2500  6 F 2.13
Cr 0.3333 0.6667 0.7500  6 F 2.13

Calculated values
Total moment   4.00 μB/f.u.
Space-group type   P-31c
Density of states at the Fermi level   0.750 states/eV/atom
Density   3.44 g/cm3

No. 3
# SrMgCrF2

An optimized crystal structure of SrMgCrF2 (PBE+U, Alexandria).

Unit cell a=4.1282 b=4.1282 c=8.8362 alpha=90.00 beta=90.00 gamma=90.00
Last column: nearest neighbours and their distance in Å.
Positions (direct):
Mg 0.0000 0.0000 0.0000  4 F 2.06
F 0.5000 0.0000 0.0000  2 Mg 2.06
F 0.0000 0.5000 0.0000  2 Mg 2.06
Cr 0.5000 0.5000 0.5000  4 Sr 2.92
Sr 0.0000 0.0000 0.5000  4 Cr 2.92

Calculated values
Total moment   5.40 μB/f.u.
Space-group type   P4/mmm
Density of states at the Fermi level   0.642 states/eV/atom
Density   2.23 g/cm3

No. 4
# MgTl2CrF6

An optimized crystal structure of MgTl2CrF6 (PBE+U, Alexandria).

Unit cell a=6.0537 b=6.0563 c=8.2051 alpha=90.00 beta=90.00 gamma=90.00
Last column: nearest neighbours and their distance in Å.
Positions (direct):
Cr 0.0000 0.7500 0.5000  6 F 2.03-2.24
Cr 0.5000 0.2500 0.0000  6 F 2.03-2.24
Mg 0.0000 0.7500 0.0000  6 F 2.04-2.07
Mg 0.5000 0.2500 0.5000  6 F 2.04-2.07
F 0.0000 0.7500 0.2524  1 Cr 2.03, 1 Mg 2.07
F 0.5000 0.2500 0.2476  1 Cr 2.03, 1 Mg 2.07
F 0.7380 0.0123 0.5000  1 Mg 2.04, 1 Cr 2.24
F 0.7620 0.5123 0.0000  1 Mg 2.04, 1 Cr 2.24
F 0.5000 0.2500 0.7524  1 Cr 2.03, 1 Mg 2.07
F 0.0000 0.7500 0.7476  1 Cr 2.03, 1 Mg 2.07
F 0.7380 0.4877 0.5000  1 Mg 2.04, 1 Cr 2.24
F 0.7620 0.9877 0.0000  1 Mg 2.04, 1 Cr 2.24
F 0.2380 0.9877 0.0000  1 Mg 2.04, 1 Cr 2.24
F 0.2380 0.5123 0.0000  1 Mg 2.04, 1 Cr 2.24
F 0.2620 0.0123 0.5000  1 Mg 2.04, 1 Cr 2.24
F 0.2620 0.4877 0.5000  1 Mg 2.04, 1 Cr 2.24
Tl 0.0000 0.2500 0.2500  12 F 2.97-3.03
Tl 0.5000 0.7500 0.7500  12 F 2.97-3.03
Tl 0.5000 0.7500 0.2500  12 F 2.97-3.03
Tl 0.0000 0.2500 0.7500  12 F 2.97-3.03

Calculated values
Total moment   4.00 μB/f.u.
Space-group type   I4/mmm
Density of states at the Fermi level   0.000 states/eV/atom
Density   6.61 g/cm3

| no. | energy (eV for the cell shown) |
| --- | --- |
| 1 | -23.35 |
| 2 | -102.63 |
| 3 | -20.55 |
| 4 | -101.06 |